# 1
ZrAuSe2 PBE-GGA relaxed; distance to the lowest polymorph of the same formula = 0.162 eV per atom; formation energy (no corrections) = -0.648 eV per atom; symmetry = No. 99
1.0
-1.9230 -2.9257 1.2880
1.9726 -2.2688 -2.2085
4.3062 -0.7830 4.6505
Zr Se Au
1 2 1
Cartesian
2.1306 -0.3874 2.3010
3.8586 -0.7016 4.1672
1.4750 -2.8609 1.1059
3.3508 -3.2020 3.1317

=====

# 2
AcDyY6Tm2 PBE-GGA relaxed; ΔH_f (0 K) = 0.13 eV per atom; symmetry = No. 15
1.0
9.0959 -1.8954 -1.9670
0.9634 8.6325 -1.9916
0.9634 -2.3102 8.5528
Y Dy Ac Tm
12 2 2 4
Cartesian
5.1062 -0.7564 6.1288
2.1812 4.4038 -1.3824
6.7291 -2.4923 3.3661
2.1731 4.8065 2.5176
9.6542 5.2049 -1.5122
1.3686 -0.7779 6.1064
6.7211 1.3901 3.9131
5.9166 5.1834 -1.5345
4.3017 3.0369 0.6812
8.8497 -0.3795 2.0766
4.2937 6.9194 1.2282
8.8416 0.0232 5.9766
3.2374 1.7426 3.6992
7.7854 2.6844 0.8950
7.7854 -3.3754 6.7342
3.2374 7.8024 -2.1400
5.5221 -0.0179 1.1998
10.0487 2.2797 3.5842
5.5007 4.4449 3.3945
0.9741 2.1473 1.0101

=====

# 3
ErAlFe5 PBE-GGA relaxed; ΔH_f (0 K) = -0.15 eV per atom; symmetry = No. 62
1.0
4.8487 0.0000 0.0000
0.0000 7.9577 0.0000
0.0000 0.0000 10.1207
Fe Al Er
20 4 4
Cartesian
1.2122 0.6950 4.8763
0.0270 0.5015 6.9711
2.3974 0.5015 6.9711
3.6365 7.2627 5.2443
4.8217 7.4562 3.1496
1.2122 7.5533 1.0766
2.3974 4.4804 8.2099
2.4513 7.4562 3.1496
3.6365 3.2838 9.9367
1.2122 3.5744 3.9837
1.2122 4.6739 0.1840
3.6365 0.4045 9.0440
3.6365 2.4366 7.5738
3.6365 4.3834 6.1370
0.0270 4.4804 8.2099
4.8217 3.4773 1.9107
1.2122 1.5423 2.5135
3.6365 6.4155 7.6072
2.4513 3.4773 1.9107
1.2122 5.5211 2.5468
1.2122 6.8251 8.7016
3.6365 1.1326 1.4191
1.2122 2.8463 6.4794
3.6365 5.1115 3.6413
3.6365 6.0458 0.6225
1.2122 1.9119 9.4982
3.6365 2.0670 4.4379
1.2122 5.8908 5.6828

=====

# 4
La6Er5Th PBE-GGA relaxed; ΔH_f (0 K) = 0.03 eV per atom; symmetry = No. 71
1.0
0.7107 4.5643 -2.3608
1.8872 -4.7966 -8.7005
-8.8333 0.3732 3.7531
La Er Th
6 5 1
Cartesian
-4.2411 1.2626 -4.5398
-7.0625 -0.9417 -3.9523
-1.0559 -3.5078 -7.0961
-5.1795 3.6488 -0.2121
-1.9943 -1.1216 -2.7684
0.8271 1.0827 -3.3559
-2.0928 2.3649 -1.7579
0.9436 -2.3983 -4.3502
-4.1426 -2.2239 -5.5503
-4.9910 0.1704 -1.1780
-1.2445 -0.0295 -6.1302
0.0000 0.0000 0.0000